P) First-principles (PBE) data for a relaxed structure of CdIn2Ag2, as listed in the Alexandria database.

POSCAR file:
```
CdIn2Ag2
1.0
7.412 0.000 0.000
0.000 7.412 0.000
0.000 0.000 4.156
Cd In Ag
2 4 4
direct
0.000 0.000 0.000
0.500 0.500 0.000
0.165 0.335 0.500
0.335 0.835 0.500
0.665 0.165 0.500
0.835 0.665 0.500
0.137 0.637 0.000
0.363 0.137 0.000
0.637 0.863 0.000
0.863 0.363 0.000
```

Q) First-principles (PBE) data for a relaxed structure of CdIn2Ag2, as listed in the Alexandria database.

POSCAR file:
```
CdIn2Ag2
1.0
8.443 0.000 0.000
0.000 8.443 0.000
0.000 0.000 3.178
Cd In Ag
2 4 4
direct
0.000 0.000 0.000
0.500 0.500 0.000
0.132 0.368 0.000
0.368 0.868 0.000
0.632 0.132 0.000
0.868 0.632 0.000
0.168 0.668 0.500
0.332 0.168 0.500
0.668 0.832 0.500
0.832 0.332 0.500
```

We find P) to be the most stable, with the next structure 3.8 kJ/mol of atoms higher.

P) First-principles (PBE) data for a relaxed structure of CdIn2Ag2, as listed in the Alexandria database.

POSCAR file:
```
CdIn2Ag2
1.0
-2.027 2.027 7.131
2.027 -2.027 7.131
2.027 2.027 -7.131
Cd In Ag
1 2 2
direct
0.000 0.000 0.000
0.398 0.398 0.000
0.602 0.602 0.000
0.250 0.750 0.500
0.750 0.250 0.500
```

Q) First-principles (PBE) data for a relaxed structure of CdIn2Ag2, as listed in the Alexandria database.

POSCAR file:
```
CdIn2Ag2
1.0
5.036 -3.079 0.000
5.036 3.079 0.000
-2.768 0.000 7.074
Cd In Ag
2 4 4
direct
0.241 0.759 0.750
0.759 0.241 0.250
0.207 0.434 0.349
0.434 0.207 0.849
0.566 0.793 0.151
0.793 0.566 0.651
0.064 0.727 0.051
0.273 0.936 0.449
0.727 0.064 0.551
0.936 0.273 0.949
```

We find Q) to be the most stable, with the next structure 9.2 kJ/mol of atoms higher.

P) First-principles (PBE) data for a relaxed structure of CdIn2Ag2, as listed in the Alexandria database.

POSCAR file:
```
CdIn2Ag2
1.0
4.756 0.000 0.000
2.324 4.169 0.000
0.016 -0.006 5.734
Cd In Ag
1 2 2
direct
0.000 0.000 0.000
0.331 0.328 0.359
0.669 0.672 0.641
0.335 0.337 0.855
0.665 0.663 0.145
```

Q) First-principles (PBE) data for a relaxed structure of CdIn2Ag2, as listed in the Alexandria database.

POSCAR file:
```
CdIn2Ag2
1.0
-2.128 2.128 6.667
2.128 -2.128 6.667
2.128 2.128 -6.667
Cd In Ag
1 2 2
direct
0.000 0.000 0.000
0.250 0.750 0.500
0.750 0.250 0.500
0.399 0.399 0.000
0.601 0.601 0.000
```

We find P) to be the most stable, with the next structure 16.6 kJ/mol of atoms higher.

P) First-principles (PBE) data for a relaxed structure of CdInAg3, as listed in the Alexandria database.

POSCAR file:
```
CdInAg3
1.0
5.222 0.000 0.000
0.000 5.222 0.000
0.000 0.000 5.222
Cd In Ag
1 1 3
direct
0.000 0.000 0.000
0.500 0.500 0.500
0.000 0.000 0.500
0.000 0.500 0.000
0.500 0.000 0.000
```

Q) First-principles (PBE) data for a relaxed structure of CdInAg3, as listed in the Alexandria database.

POSCAR file:
```
CdInAg3
1.0
5.292 0.000 0.000
0.000 4.846 0.000
-2.479 0.000 7.633
Cd In Ag
2 2 6
direct
0.188 0.250 0.019
0.812 0.750 0.981
0.048 0.750 0.389
0.952 0.250 0.611
0.227 0.750 0.801
0.375 0.250 0.407
0.451 0.750 0.201
0.549 0.250 0.799
0.625 0.750 0.593
0.773 0.250 0.199
```

We find Q) to be the most stable, with the next structure 53.2 kJ/mol of atoms higher.

P) First-principles (PBE) data for a relaxed structure of CdIn3Ag, as listed in the Alexandria database.

POSCAR file:
```
CdIn3Ag
1.0
5.383 0.000 0.000
0.000 5.383 0.000
0.000 0.000 5.383
Cd In Ag
1 3 1
direct
0.000 0.000 0.000
0.000 0.500 0.500
0.500 0.000 0.500
0.500 0.500 0.000
0.500 0.500 0.500
```

Q) First-principles (PBE) data for a relaxed structure of CdIn3Ag, as listed in the Alexandria database.

POSCAR file:
```
CdIn3Ag
1.0
8.597 -4.890 0.000
8.597 4.890 0.000
-0.591 0.000 5.878
Cd In Ag
4 12 4
direct
0.046 0.389 0.174
0.389 0.046 0.674
0.611 0.954 0.326
0.954 0.611 0.826
0.031 0.262 0.624
0.203 0.702 0.978
0.262 0.031 0.124
0.284 0.407 0.524
0.298 0.797 0.522
0.407 0.284 0.024
0.593 0.716 0.976
0.702 0.203 0.478
0.716 0.593 0.476
0.738 0.969 0.876
0.797 0.298 0.022
0.969 0.738 0.376
0.004 0.996 0.750
0.491 0.509 0.250
0.509 0.491 0.750
0.996 0.004 0.250
```

We find Q) to be the most stable, with the next structure 20.4 kJ/mol of atoms higher.

P) First-principles (PBE) data for a relaxed structure of Cd6In2Ag, as listed in the Alexandria database.

POSCAR file:
```
Cd6In2Ag
1.0
5.388 -5.518 0.000
5.388 5.518 0.000
-4.895 0.000 7.016
Cd In Ag
12 4 2
direct
0.075 0.820 0.536
0.142 0.417 0.358
0.180 0.925 0.964
0.283 0.503 0.806
0.417 0.142 0.858
0.497 0.717 0.694
0.503 0.283 0.306
0.583 0.858 0.142
0.717 0.497 0.194
0.820 0.075 0.036
0.858 0.583 0.642
0.925 0.180 0.464
0.051 0.295 0.921
0.295 0.051 0.421
0.705 0.949 0.579
0.949 0.705 0.079
0.368 0.632 0.250
0.632 0.368 0.750
```

Q) First-principles (PBE) data for a relaxed structure of Cd6In2Ag, as listed in the Alexandria database.

POSCAR file:
```
Cd6In2Ag
1.0
8.761 0.000 0.000
-4.381 7.588 0.000
0.000 0.000 3.203
Cd In Ag
6 2 1
direct
0.000 0.321 0.232
0.000 0.679 0.768
0.321 0.000 0.232
0.321 0.321 0.768
0.679 0.000 0.768
0.679 0.679 0.232
0.333 0.667 0.500
0.667 0.333 0.500
0.000 0.000 0.000
```

We find P) to be the most stable, with the next structure 3.7 kJ/mol of atoms higher.